# 1
# GGA-PBE Y4Cu2Pt, relaxed
data_Y4Cu2Pt
_symmetry_space_group_name_H-M 'I 4/m m m'
_symmetry_Int_Tables_number 139
_symmetry_space_group_name_Hall '-I 4 2'
_cell_length_a 5.426
_cell_length_b 5.426
_cell_length_c 13.503
_cell_angle_alpha 90.00
_cell_angle_beta 90.00
_cell_angle_gamma 90.00
loop_
_atom_site_label
_atom_site_type_symbol
_atom_site_fract_x
_atom_site_fract_y
_atom_site_fract_z
Y1 Y 0.000 0.000 0.205
Y2 Y 0.000 0.500 0.000
Cu1 Cu 0.000 0.000 0.409
Pt1 Pt 0.000 0.000 0.000
# * calculated formation energy: -4.20 kcal/mol of atoms
# * crystal system: tetragonal
# * raw total energy: -5.909 eV/atom
# * relative energy among the computed polymorphs: 0.2360 eV per atom

# 2
# GGA-PBE Y2CuPt, relaxed
data_Y2CuPt
_symmetry_space_group_name_H-M 'F -4 3 m'
_symmetry_Int_Tables_number 216
_symmetry_space_group_name_Hall 'F -4 2 3'
_cell_length_a 6.790
_cell_length_b 6.790
_cell_length_c 6.790
_cell_angle_alpha 90.00
_cell_angle_beta 90.00
_cell_angle_gamma 90.00
loop_
_atom_site_label
_atom_site_type_symbol
_atom_site_fract_x
_atom_site_fract_y
_atom_site_fract_z
Y1 Y 0.000 0.000 0.000
Y2 Y 0.250 0.250 0.250
Cu1 Cu 0.000 0.000 0.500
Pt1 Pt 0.250 0.250 0.750
# * calculated formation energy: -10.07 kcal/mol of atoms
# * crystal system: cubic
# * raw total energy: -6.203 eV/atom